LuGeRu GGA-PBE relaxed; formation energy = -598 meV per atom
1.0
4.352 0.000 0.000
-2.176 3.769 0.000
0.000 0.000 3.371
Lu Ge Ru
1 1 1
direct
0.000 0.000 0.000
0.333 0.667 0.500
0.667 0.333 0.500